This record from Alexandria describes Ac3Ce2Ge3 after structural relaxation. The functional is PBE.

POSCAR file:
```
Ac3Ce2Ge3
1.0
-2.1477 2.3224 12.3580
2.1477 -2.3224 12.3580
2.1477 2.3224 -12.3580
Ac Ce Ge
3 2 3
direct
0.0000 0.0000 0.0000 Ac
0.3806 0.8806 0.5000 Ac
0.6194 0.1194 0.5000 Ac
0.2549 0.2549 0.0000 Ce
0.7451 0.7451 0.0000 Ce
0.1629 0.6629 0.5000 Ge
0.5000 0.5000 0.0000 Ge
0.8371 0.3371 0.5000 Ge
```

Summary:
The calculation puts the formation energy at -3.850 eV per formula unit. The theoretical density is 7942 kg/m3. The space group is Immm (71).



This record from Alexandria describes La6ScZn5 after structural relaxation. The functional is PBE.

POSCAR file:
```
La6ScZn5
1.0
5.3014 0.0000 0.0000
0.0000 7.6043 0.0000
-2.6508 0.0000 8.0791
La Sc Zn
6 1 5
direct
0.0000 0.2289 0.0000 La
0.0000 0.7711 0.0000 La
0.3295 0.2480 0.6563 La
0.3295 0.7520 0.6563 La
0.6705 0.2480 0.3437 La
0.6705 0.7520 0.3437 La
0.5000 0.5000 0.0000 Sc
0.1490 0.5000 0.3016 Zn
0.1650 0.0000 0.3349 Zn
0.5000 0.0000 0.0000 Zn
0.8350 0.0000 0.6651 Zn
0.8510 0.5000 0.6984 Zn
```

Summary:
The calculation puts the formation energy at -2.734 eV per formula unit. The theoretical density is 6146 kg/m3. The space group is P2/m (10).



This record from Alexandria describes CeNdMgGa after structural relaxation. The functional is PBE.

POSCAR file:
```
CeNdMgGa
1.0
0.0000 3.7493 3.7493
3.7493 0.0000 3.7493
3.7493 3.7493 0.0000
Ce Nd Mg Ga
1 1 1 1
direct
0.0000 0.0000 0.0000 Ce
0.5000 0.5000 0.5000 Nd
0.7500 0.7500 0.7500 Mg
0.2500 0.2500 0.2500 Ga
```

Summary:
The calculation puts the formation energy at -0.968 eV per formula unit. The theoretical density is 5961 kg/m3. The space group is F-43m (216).



This record from Alexandria describes Cs4U3Te8Pd after structural relaxation. The functional is PBE.

POSCAR file:
```
Cs4U3Te8Pd
1.0
7.8000 -4.4986 0.0000
7.8000 4.4986 0.0000
-5.1989 0.0000 8.9064
Cs U Te Pd
4 3 8 1
direct
0.0000 0.0000 0.0000 Cs
0.0000 0.5000 0.0000 Cs
0.5000 0.0000 0.0000 Cs
0.5000 0.5000 0.0000 Cs
0.0000 0.0000 0.5000 U
0.0000 0.5000 0.5000 U
0.5000 0.0000 0.5000 U
0.2315 0.2315 0.6946 Te
0.2351 0.7234 0.6819 Te
0.2760 0.2760 0.3177 Te
0.2766 0.7649 0.3181 Te
0.7234 0.2351 0.6819 Te
0.7240 0.7240 0.6823 Te
0.7649 0.2766 0.3181 Te
0.7685 0.7685 0.3054 Te
0.5000 0.5000 0.5000 Pd
```

Summary:
The theoretical density is 6304 kg/m3. The value obtained for the energy relative to the elements, uncorrected is -0.75 eV/atom. The space group is C2/m (12).



This record from Alexandria describes NiB after structural relaxation. The functional is PBE.

POSCAR file:
```
NiB
1.0
2.5164 0.0000 0.0000
0.0000 2.5164 0.0000
0.0000 0.0000 2.5164
Ni B
1 1
direct
0.0000 0.0000 0.0000 Ni
0.5000 0.5000 0.5000 B
```

Summary:
The calculation puts the formation energy at 0.247 eV per formula unit. The theoretical density is 7243 kg/m3. The space group is Pm-3m (221).



This record from Alexandria describes Ta2TcHg after structural relaxation. The functional is PBE.

POSCAR file:
```
Ta2TcHg
1.0
2.9321 0.0000 0.0000
0.0000 4.6009 0.0000
-0.9176 0.0000 5.3779
Ta Tc Hg
2 1 1
direct
0.0000 0.0000 0.0000 Ta
0.2812 0.5000 0.7271 Ta
0.6962 0.5000 0.1685 Tc
0.6728 0.0000 0.4817 Hg
```

Summary:
The calculation puts the formation energy at 0.766 eV per formula unit. The theoretical density is 15117 kg/m3. The space group is Pm (6).



This record from Alexandria describes HoMg4Cd4 after structural relaxation. The functional is PBE.

POSCAR file:
```
HoMg4Cd4
1.0
6.5643 0.0000 0.0000
0.0000 6.5643 0.0000
0.0000 0.0000 9.9565
Ho Mg Cd
2 8 8
direct
0.2500 0.7500 0.2500 Ho
0.7500 0.2500 0.7500 Ho
0.0300 0.2500 0.1755 Mg
0.2500 0.0300 0.6755 Mg
0.2500 0.4700 0.6755 Mg
0.4700 0.2500 0.1755 Mg
0.5300 0.7500 0.8245 Mg
0.7500 0.5300 0.3245 Mg
0.7500 0.9700 0.3245 Mg
0.9700 0.7500 0.8245 Mg
0.0170 0.2500 0.4701 Cd
0.2500 0.0170 0.9701 Cd
0.2500 0.4830 0.9701 Cd
0.4830 0.2500 0.4701 Cd
0.5170 0.7500 0.5299 Cd
0.7500 0.5170 0.0299 Cd
0.7500 0.9830 0.0299 Cd
0.9830 0.7500 0.5299 Cd
```

Summary:
The calculation puts the formation energy at -0.443 eV per formula unit. The theoretical density is 5510 kg/m3. The space group is P4_2/nmc (137).



This record from Alexandria describes YCo2C after structural relaxation. The functional is PBE.

POSCAR file:
```
YCo2C
1.0
-2.1893 2.1893 6.3305
2.1893 -2.1893 6.3305
2.1893 2.1893 -6.3305
Y Co C
2 4 2
direct
0.3750 0.6250 0.7500 Y
0.6250 0.3750 0.2500 Y
0.0000 0.0000 0.0000 Co
0.0000 0.0000 0.5000 Co
0.0000 0.5000 0.0000 Co
0.5000 0.0000 0.5000 Co
0.1250 0.8750 0.2500 C
0.8750 0.1250 0.7500 C
```

Summary:
The calculation puts the formation energy at 0.549 eV per formula unit. The theoretical density is 5986 kg/m3. The space group is I4_1/amd (141).



| no. | density of states at the Fermi level (states/eV/cell) | M_tot (μB per formula unit) |
| --- | --- | --- |
| 1 | 11.3 | 1.02 |
| 2 | 13.3 | 0.00 |
| 3 | 9.5 | 0.82 |
| 4 | 23.8 | 6.99 |
| 5 | 1.6 | 0.00 |
| 6 | 3.2 | 0.00 |
| 7 | 9.7 | 0.00 |
| 8 | 8.9 | 1.51 |